Record 1
{"formula": "La3Ce2PrY6", "functional": "GGA-PBE", "state": "relaxed", "volume_a3_per_atom": 33.37, "crystal_system": "monoclinic", "energy_ev_per_atom": -5.80, "space_group": "C2/m", "lattice": [[3.143, -5.445, 0.000], [3.143, 5.445, 0.000], [-2.097, 0.000, 11.699]], "species": ["La", "La", "La", "Ce", "Ce", "Pr", "Y", "Y", "Y", "Y", "Y", "Y"], "frac_coords": [[0.000, 0.000, 0.000], [0.334, 0.666, 0.000], [0.666, 0.334, 0.000], [0.167, 0.833, 0.500], [0.833, 0.167, 0.500], [0.500, 0.500, 0.500], [0.083, 0.418, 0.255], [0.246, 0.246, 0.745], [0.418, 0.083, 0.255], [0.582, 0.917, 0.745], [0.754, 0.754, 0.255], [0.917, 0.582, 0.745]]}

---

Record 2
{"formula": "LaCePr6Y2", "functional": "GGA-PBE", "state": "relaxed", "volume_a3_per_atom": 35.61, "crystal_system": "monoclinic", "energy_ev_per_atom": -5.03, "space_group": "C2/m", "lattice": [[5.712, -3.524, 0.000], [5.712, 3.524, 0.000], [-1.978, 0.000, 8.845]], "species": ["La", "Ce", "Pr", "Pr", "Pr", "Pr", "Pr", "Pr", "Y", "Y"], "frac_coords": [[0.000, 0.000, 0.000], [0.500, 0.500, 0.500], [0.069, 0.598, 0.699], [0.367, 0.367, 0.081], [0.402, 0.931, 0.301], [0.598, 0.069, 0.699], [0.633, 0.633, 0.919], [0.931, 0.402, 0.301], [0.096, 0.096, 0.657], [0.904, 0.904, 0.343]]}

---

Record 3
{"formula": "La6CePr2Y", "functional": "GGA-PBE", "state": "relaxed", "volume_a3_per_atom": 36.10, "crystal_system": "monoclinic", "energy_ev_per_atom": -4.95, "space_group": "C2/m", "lattice": [[5.906, -3.495, 0.000], [5.906, 3.495, 0.000], [-4.995, 0.000, 8.745]], "species": ["La", "La", "La", "La", "La", "La", "Ce", "Pr", "Pr", "Y"], "frac_coords": [[0.038, 0.591, 0.177], [0.146, 0.146, 0.419], [0.409, 0.962, 0.823], [0.591, 0.038, 0.177], [0.854, 0.854, 0.581], [0.962, 0.409, 0.823], [0.000, 0.000, 0.000], [0.436, 0.436, 0.801], [0.564, 0.564, 0.199], [0.500, 0.500, 0.500]]}

---

Record 4
{"formula": "LaCePrY2", "functional": "GGA-PBE", "state": "relaxed", "volume_a3_per_atom": 34.41, "crystal_system": "monoclinic", "energy_ev_per_atom": -5.44, "space_group": "P2/c", "lattice": [[8.663, 0.000, 0.000], [0.000, 6.468, 0.000], [-0.824, 0.000, 6.141]], "species": ["La", "La", "Ce", "Ce", "Pr", "Pr", "Y", "Y", "Y", "Y"], "frac_coords": [[0.000, 0.000, 0.000], [0.000, 0.000, 0.500], [0.000, 0.453, 0.250], [0.000, 0.547, 0.750], [0.500, 0.166, 0.250], [0.500, 0.834, 0.750], [0.309, 0.326, 0.711], [0.309, 0.674, 0.211], [0.691, 0.326, 0.789], [0.691, 0.674, 0.289]]}

---

Copy entry 2 word for word.
{"formula": "LaCePr6Y2", "functional": "GGA-PBE", "state": "relaxed", "volume_a3_per_atom": 35.61, "crystal_system": "monoclinic", "energy_ev_per_atom": -5.03, "space_group": "C2/m", "lattice": [[5.712, -3.524, 0.000], [5.712, 3.524, 0.000], [-1.978, 0.000, 8.845]], "species": ["La", "Ce", "Pr", "Pr", "Pr", "Pr", "Pr", "Pr", "Y", "Y"], "frac_coords": [[0.000, 0.000, 0.000], [0.500, 0.500, 0.500], [0.069, 0.598, 0.699], [0.367, 0.367, 0.081], [0.402, 0.931, 0.301], [0.598, 0.069, 0.699], [0.633, 0.633, 0.919], [0.931, 0.402, 0.301], [0.096, 0.096, 0.657], [0.904, 0.904, 0.343]]}